# 1
Compound: Dy3PaN4
Source: Alexandria
Functional: GGA-PBE
Structure: relaxed

Cell and atoms, written as POSCAR:
```
Dy3PaN4
1.0
-3.195 1.026 0.970
1.089 -1.898 5.594
1.691 5.742 -0.504
Pa N Dy
1 4 3
Cartesian
-1.598 0.513 0.485
-0.364 0.453 4.612
2.109 2.916 3.861
0.671 0.928 1.229
-0.051 4.417 1.448
0.545 -0.949 2.797
0.846 2.871 -0.252
-0.207 2.435 3.030
```

Values from the calculation:
**E_tot**: -8.7832 eV per atom
**Crystal system**: orthorhombic
**Symmetry**: Cmmm, No. 65
**Formation energy from raw total energies**: -1.708 eV per atom

=====

# 2
Compound: Nb3Mo2W4
Source: Alexandria
Functional: GGA-PBE
Structure: relaxed

Cell and atoms, written as POSCAR:
```
Nb3Mo2W4
1.0
-4.442 -0.846 2.838
4.826 -1.756 1.457
0.855 6.928 1.168
W Mo Nb
4 2 3
Cartesian
1.814 1.922 1.002
2.286 2.123 4.035
-1.047 2.203 1.428
-0.575 2.404 4.461
0.741 3.986 2.349
0.497 0.340 3.114
2.413 -0.878 0.729
-2.221 -0.423 1.419
0.000 0.000 0.000
```

Values from the calculation:
**E_tot**: -11.1208 eV per atom
**Crystal system**: orthorhombic
**Symmetry**: Fmmm, No. 69
**ΔH_f (0 K)**: 0.40 eV/atom

=====

# 3
Compound: BaScGe2W
Source: Alexandria
Functional: GGA-PBE
Structure: relaxed

Cell and atoms, written as POSCAR:
```
BaScGe2W
1.0
-1.974 3.319 -3.162
-4.905 -2.791 0.132
-1.486 2.794 3.860
Ge W Ba Sc
2 1 1 1
Cartesian
-0.743 1.397 1.930
-0.987 1.660 -1.581
0.000 0.000 0.000
-2.452 -1.396 0.066
-4.182 1.661 0.416
```

Values from the calculation:
**E_tot**: -5.3754 eV per atom
**Crystal system**: tetragonal
**Symmetry**: P4/mmm, No. 123
**ΔH_f (0 K)**: 0.71 eV/atom

=====

# 4
Compound: Er2HfAu
Source: Alexandria
Functional: GGA-PBE
Structure: relaxed

Cell and atoms, written as POSCAR:
```
Er2HfAu
1.0
3.404 0.000 0.000
0.000 3.404 0.000
0.000 0.000 8.404
Er Au Hf
2 1 1
Cartesian
0.000 0.000 6.473
0.000 0.000 1.931
1.702 1.702 0.000
1.702 1.702 4.202
```

Values from the calculation:
**E_tot**: -5.9481 eV per atom
**Crystal system**: tetragonal
**Symmetry**: P4/mmm, No. 123
**ΔH_f (0 K)**: -0.36 eV/atom